Record 1
The following is a PBE calculation of a relaxed structure of NdBiIr4, from the Alexandria database.

Structure (CIF):
```
data_NdBiIr4
_symmetry_space_group_name_H-M 'F -4 3 m'
_symmetry_Int_Tables_number 216
_symmetry_space_group_name_Hall 'F -4 2 3'
_cell_length_a 7.6795
_cell_length_b 7.6795
_cell_length_c 7.6795
_cell_angle_alpha 90.00
_cell_angle_beta 90.00
_cell_angle_gamma 90.00
loop_
_atom_site_label
_atom_site_type_symbol
_atom_site_fract_x
_atom_site_fract_y
_atom_site_fract_z
_atom_site_occupancy
Nd1 Nd 0.0000 0.0000 0.0000 1
Bi1 Bi 0.2500 0.2500 0.7500 1
Ir1 Ir 0.1246 0.1246 0.3754 1
```

Output
Energy ... -7.58 eV/atom

---

Record 2
The following is a PBE calculation of a relaxed structure of LaPr12Cd3, from the Alexandria database.

Structure (CIF):
```
data_LaPr12Cd3
_symmetry_space_group_name_H-M 'P 4/m m m'
_symmetry_Int_Tables_number 123
_symmetry_space_group_name_Hall '-P 4 2'
_cell_length_a 5.0600
_cell_length_b 5.0600
_cell_length_c 20.5412
_cell_angle_alpha 90.00
_cell_angle_beta 90.00
_cell_angle_gamma 90.00
loop_
_atom_site_label
_atom_site_type_symbol
_atom_site_fract_x
_atom_site_fract_y
_atom_site_fract_z
_atom_site_occupancy
La1 La 0.0000 0.0000 0.0000 1
Pr1 Pr 0.0000 0.5000 0.1326 1
Pr2 Pr 0.0000 0.5000 0.3782 1
Pr3 Pr 0.5000 0.5000 0.0000 1
Pr4 Pr 0.5000 0.5000 0.2559 1
Pr5 Pr 0.5000 0.5000 0.5000 1
Cd1 Cd 0.0000 0.0000 0.2576 1
Cd2 Cd 0.0000 0.0000 0.5000 1
```

Output
Energy ... -4.14 eV/atom

---

Record 3
The following is a PBE calculation of a relaxed structure of SrLa3Ru, from the Alexandria database.

Structure (CIF):
```
data_SrLa3Ru
_symmetry_space_group_name_H-M 'A m m 2'
_symmetry_Int_Tables_number 38
_cell_length_a 4.2340
_cell_length_b 8.2719
_cell_length_c 10.6656
_cell_angle_alpha 90.00
_cell_angle_beta 90.00
_cell_angle_gamma 90.00
loop_
_symmetry_equiv_pos_as_xyz
'x,y,z'
'-x,-y,z'
'-x,y,z'
'x,-y,z'
'x,y+1/2,z+1/2'
'-x,-y+1/2,z+1/2'
'-x,y+1/2,z+1/2'
'x,-y+1/2,z+1/2'
loop_
_atom_site_label
_atom_site_type_symbol
_atom_site_fract_x
_atom_site_fract_y
_atom_site_fract_z
_atom_site_occupancy
Sr1 Sr 0.0000 0.0000 0.0000 1
La1 La 0.0000 0.0000 0.5416 1
La2 La 0.5000 0.2236 0.2748 1
Ru1 Ru 0.0000 0.0000 0.2922 1
```

Output
Energy above the lowest structure with this stoichiometry ... 41 meV/atom
Energy ... -5.29 eV/atom

---

Record 4
The following is a PBE calculation of a relaxed structure of Th6Ga3Fe, from the Alexandria database.

Structure (CIF):
```
data_Th6Ga3Fe
_symmetry_space_group_name_H-M 'R -3'
_symmetry_Int_Tables_number 148
_symmetry_space_group_name_Hall '-R 3'
_cell_length_a 11.5629
_cell_length_b 11.5629
_cell_length_c 14.2968
_cell_angle_alpha 90.00
_cell_angle_beta 90.00
_cell_angle_gamma 120.00
loop_
_atom_site_label
_atom_site_type_symbol
_atom_site_fract_x
_atom_site_fract_y
_atom_site_fract_z
_atom_site_occupancy
Th1 Th 0.1002 0.2014 0.3856 1
Th2 Th 0.1082 0.2162 0.1102 1
Ga1 Ga 0.0498 0.5243 0.4153 1
Fe1 Fe 0.0000 0.0000 0.0000 1
Fe2 Fe 0.0000 0.0000 0.5000 1
```

Output
Energy ... -6.38 eV/atom

---

Record 5
The following is a PBE calculation of a relaxed structure of Ta2InW, from the Alexandria database.

Structure (CIF):
```
data_Ta2InW
_symmetry_space_group_name_H-M 'I -4 2 d'
_symmetry_Int_Tables_number 122
_symmetry_space_group_name_Hall 'I -4 2bw'
_cell_length_a 7.6268
_cell_length_b 7.6268
_cell_length_c 5.6186
_cell_angle_alpha 90.00
_cell_angle_beta 90.00
_cell_angle_gamma 90.00
loop_
_atom_site_label
_atom_site_type_symbol
_atom_site_fract_x
_atom_site_fract_y
_atom_site_fract_z
_atom_site_occupancy
Ta1 Ta 0.2124 0.7500 0.1250 1
In1 In 0.0000 0.0000 0.5000 1
W1 W 0.0000 0.0000 0.0000 1
```

Output
Energy ... -8.98 eV/atom

---

Record 6
The following is a PBE calculation of a relaxed structure of Al2CrCd, from the Alexandria database.

Structure (CIF):
```
data_Al2CrCd
_symmetry_space_group_name_H-M 'C 1 2/m 1'
_symmetry_Int_Tables_number 12
_cell_length_a 9.1684
_cell_length_b 2.9989
_cell_length_c 5.0719
_cell_angle_alpha 90.00
_cell_angle_beta 101.11
_cell_angle_gamma 90.00
loop_
_symmetry_equiv_pos_as_xyz
'x,y,z'
'-x,-y,-z'
'-x,y,-z'
'x,-y,z'
'x+1/2,y+1/2,z'
'-x+1/2,-y+1/2,-z'
'-x+1/2,y+1/2,-z'
'x+1/2,-y+1/2,z'
loop_
_atom_site_label
_atom_site_type_symbol
_atom_site_fract_x
_atom_site_fract_y
_atom_site_fract_z
_atom_site_occupancy
Al1 Al 0.2399 0.0000 0.2184 1
Cr1 Cr 0.0000 0.5000 0.0000 1
Cd1 Cd 0.0000 0.0000 0.5000 1
```

Output
Energy ... -4.32 eV/atom

---

Record 7
The following is a PBE calculation of a relaxed structure of GaSiCl2, from the Alexandria database.

Structure (CIF):
```
data_GaSiCl2
_symmetry_space_group_name_H-M 'F m -3 m'
_symmetry_Int_Tables_number 225
_symmetry_space_group_name_Hall '-F 4 2 3'
_cell_length_a 6.9796
_cell_length_b 6.9796
_cell_length_c 6.9796
_cell_angle_alpha 90.00
_cell_angle_beta 90.00
_cell_angle_gamma 90.00
loop_
_atom_site_label
_atom_site_type_symbol
_atom_site_fract_x
_atom_site_fract_y
_atom_site_fract_z
_atom_site_occupancy
Ga1 Ga 0.0000 0.0000 0.0000 1
Si1 Si 0.0000 0.0000 0.5000 1
Cl1 Cl 0.2500 0.2500 0.2500 1
```

Output
Energy above the lowest structure with this stoichiometry ... 128 meV/atom
ΔE_f (raw) ... 0.07 eV/atom
Energy ... -2.97 eV/atom

---

Record 8
The following is a PBE calculation of a relaxed structure of ErSc2Cu, from the Alexandria database.

Structure (CIF):
```
data_ErSc2Cu
_symmetry_space_group_name_H-M 'P n m a'
_symmetry_Int_Tables_number 62
_cell_length_a 6.3737
_cell_length_b 9.4481
_cell_length_c 6.0349
_cell_angle_alpha 90.00
_cell_angle_beta 90.00
_cell_angle_gamma 90.00
loop_
_symmetry_equiv_pos_as_xyz
'x,y,z'
'-x,-y,-z'
'-x+1/2,-y,z+1/2'
'x+1/2,y,-z+1/2'
'x+1/2,-y+1/2,-z+1/2'
'-x+1/2,y+1/2,z+1/2'
'-x,y+1/2,-z'
'x,-y+1/2,z'
loop_
_atom_site_label
_atom_site_type_symbol
_atom_site_fract_x
_atom_site_fract_y
_atom_site_fract_z
_atom_site_occupancy
Er1 Er 0.0031 0.2500 0.1202 1
Sc1 Sc 0.1795 0.0501 0.6855 1
Cu1 Cu 0.0942 0.7500 0.4286 1
```

Output
Energy above the lowest structure with this stoichiometry ... 0 meV/atom
Energy ... -5.45 eV/atom

---

Record 9
The following is a PBE calculation of a relaxed structure of LiFeCo, from the Alexandria database.

Structure (CIF):
```
data_LiFeCo
_symmetry_space_group_name_H-M 'C 1 m 1'
_symmetry_Int_Tables_number 8
_cell_length_a 8.5369
_cell_length_b 3.9443
_cell_length_c 4.9513
_cell_angle_alpha 90.00
_cell_angle_beta 124.58
_cell_angle_gamma 90.00
loop_
_symmetry_equiv_pos_as_xyz
'x,y,z'
'x,-y,z'
'x+1/2,y+1/2,z'
'x+1/2,-y+1/2,z'
loop_
_atom_site_label
_atom_site_type_symbol
_atom_site_fract_x
_atom_site_fract_y
_atom_site_fract_z
_atom_site_occupancy
Li1 Li 0.0000 0.0000 0.0000 1
Li2 Li 0.1487 0.5000 0.2945 1
Fe1 Fe 0.3317 0.0000 0.6487 1
Fe2 Fe 0.4905 0.5000 0.4882 1
Co1 Co 0.1607 0.5000 0.8046 1
Co2 Co 0.3219 0.0000 0.1424 1
```

Output
Energy above the lowest structure with this stoichiometry ... 46 meV/atom
Energy ... -5.66 eV/atom

---

Record 10
The following is a PBE calculation of a relaxed structure of La2SmSe4, from the Alexandria database.

Structure (CIF):
```
data_La2SmSe4
_symmetry_space_group_name_H-M 'I m m a'
_symmetry_Int_Tables_number 74
_symmetry_space_group_name_Hall '-I 2b 2'
_cell_length_a 8.4733
_cell_length_b 8.6228
_cell_length_c 11.8977
_cell_angle_alpha 90.00
_cell_angle_beta 90.00
_cell_angle_gamma 90.00
loop_
_atom_site_label
_atom_site_type_symbol
_atom_site_fract_x
_atom_site_fract_y
_atom_site_fract_z
_atom_site_occupancy
La1 La 0.0000 0.0000 0.0000 1
La2 La 0.2500 0.2500 0.2500 1
Sm1 Sm 0.2500 0.2500 0.7500 1
Se1 Se 0.0000 0.0062 0.7447 1
Se2 Se 0.2463 0.2500 0.9971 1
```

Output
Energy above the lowest structure with this stoichiometry ... 0 meV/atom
ΔE_f (raw) ... -1.94 eV/atom
Energy ... -6.01 eV/atom

---

Record 11
The following is a PBE calculation of a relaxed structure of Y2Cu2Bi, from the Alexandria database.

Structure (CIF):
```
data_Y2Cu2Bi
_symmetry_space_group_name_H-M 'I 4/m m m'
_symmetry_Int_Tables_number 139
_symmetry_space_group_name_Hall '-I 4 2'
_cell_length_a 3.5969
_cell_length_b 3.5969
_cell_length_c 17.9817
_cell_angle_alpha 90.00
_cell_angle_beta 90.00
_cell_angle_gamma 90.00
loop_
_atom_site_label
_atom_site_type_symbol
_atom_site_fract_x
_atom_site_fract_y
_atom_site_fract_z
_atom_site_occupancy
Y1 Y 0.0000 0.0000 0.1208 1
Cu1 Cu 0.0000 0.5000 0.2500 1
Bi1 Bi 0.0000 0.0000 0.5000 1
```

Output
Energy above the lowest structure with this stoichiometry ... 223 meV/atom
Energy ... -5.21 eV/atom

---

Record 12
The following is a PBE calculation of a relaxed structure of ScInCl2, from the Alexandria database.

Structure (CIF):
```
data_ScInCl2
_symmetry_space_group_name_H-M 'I 4/m m m'
_symmetry_Int_Tables_number 139
_symmetry_space_group_name_Hall '-I 4 2'
_cell_length_a 4.5681
_cell_length_b 4.5681
_cell_length_c 8.6682
_cell_angle_alpha 90.00
_cell_angle_beta 90.00
_cell_angle_gamma 90.00
loop_
_atom_site_label
_atom_site_type_symbol
_atom_site_fract_x
_atom_site_fract_y
_atom_site_fract_z
_atom_site_occupancy
Sc1 Sc 0.0000 0.0000 0.0000 1
In1 In 0.0000 0.0000 0.5000 1
Cl1 Cl 0.0000 0.5000 0.2500 1
```

Output
Energy above the lowest structure with this stoichiometry ... 589 meV/atom
ΔE_f (raw) ... -0.68 eV/atom
Energy ... -3.87 eV/atom

---

Record 13
The following is a PBE calculation of a relaxed structure of Mn2AlTe, from the Alexandria database.

Structure (CIF):
```
data_Mn2AlTe
_symmetry_space_group_name_H-M 'R 3 m'
_symmetry_Int_Tables_number 160
_symmetry_space_group_name_Hall 'R 3 -2"'
_cell_length_a 3.9480
_cell_length_b 3.9480
_cell_length_c 16.6851
_cell_angle_alpha 90.00
_cell_angle_beta 90.00
_cell_angle_gamma 120.00
loop_
_atom_site_label
_atom_site_type_symbol
_atom_site_fract_x
_atom_site_fract_y
_atom_site_fract_z
_atom_site_occupancy
Mn1 Mn 0.0000 0.0000 0.0000 1
Mn2 Mn 0.0000 0.0000 0.3163 1
Al1 Al 0.0000 0.0000 0.7416 1
Te1 Te 0.0000 0.0000 0.5556 1
```

Output
Energy above the lowest structure with this stoichiometry ... 104 meV/atom
ΔE_f (raw) ... 0.22 eV/atom
Energy ... -6.09 eV/atom

---

Record 14
The following is a PBE calculation of a relaxed structure of Ce2MgC, from the Alexandria database.

Structure (CIF):
```
data_Ce2MgC
_symmetry_space_group_name_H-M 'R -3 m'
_symmetry_Int_Tables_number 166
_symmetry_space_group_name_Hall '-R 3 2"'
_cell_length_a 3.4065
_cell_length_b 3.4065
_cell_length_c 29.7395
_cell_angle_alpha 90.00
_cell_angle_beta 90.00
_cell_angle_gamma 120.00
loop_
_atom_site_label
_atom_site_type_symbol
_atom_site_fract_x
_atom_site_fract_y
_atom_site_fract_z
_atom_site_occupancy
Ce1 Ce 0.0000 0.0000 0.1177 1
Mg1 Mg 0.0000 0.0000 0.0000 1
C1 C 0.0000 0.0000 0.5000 1
```

Output
Energy ... -5.67 eV/atom

---

Record 15
The following is a PBE calculation of a relaxed structure of AlPtN2, from the Alexandria database.

Structure (CIF):
```
data_AlPtN2
_symmetry_space_group_name_H-M 'R -3 m'
_symmetry_Int_Tables_number 166
_symmetry_space_group_name_Hall '-R 3 2"'
_cell_length_a 3.1961
_cell_length_b 3.1961
_cell_length_c 17.2283
_cell_angle_alpha 90.00
_cell_angle_beta 90.00
_cell_angle_gamma 120.00
loop_
_atom_site_label
_atom_site_type_symbol
_atom_site_fract_x
_atom_site_fract_y
_atom_site_fract_z
_atom_site_occupancy
Al1 Al 0.0000 0.0000 0.0000 1
Pt1 Pt 0.0000 0.0000 0.5000 1
N1 N 0.0000 0.0000 0.1078 1
```

Output
ΔE_f (raw) ... 0.42 eV/atom
Energy ... -6.19 eV/atom

---

Record 16
The following is a PBE calculation of a relaxed structure of Nd4IrBr5, from the Alexandria database.

Structure (CIF):
```
data_Nd4IrBr5
_symmetry_space_group_name_H-M 'C 1 2/m 1'
_symmetry_Int_Tables_number 12
_cell_length_a 19.2775
_cell_length_b 4.1496
_cell_length_c 8.7920
_cell_angle_alpha 90.00
_cell_angle_beta 104.11
_cell_angle_gamma 90.00
loop_
_symmetry_equiv_pos_as_xyz
'x,y,z'
'-x,-y,-z'
'-x,y,-z'
'x,-y,z'
'x+1/2,y+1/2,z'
'-x+1/2,-y+1/2,-z'
'-x+1/2,y+1/2,-z'
'x+1/2,-y+1/2,z'
loop_
_atom_site_label
_atom_site_type_symbol
_atom_site_fract_x
_atom_site_fract_y
_atom_site_fract_z
_atom_site_occupancy
Nd1 Nd 0.0002 0.0000 0.2167 1
Nd2 Nd 0.1510 0.5000 0.0891 1
Ir1 Ir 0.0000 0.5000 0.0000 1
Br1 Br 0.0000 0.5000 0.5000 1
Br2 Br 0.1679 0.0000 0.3417 1
Br3 Br 0.1739 0.0000 0.8485 1
```

Output
ΔE_f (raw) ... -1.48 eV/atom
Energy ... -5.11 eV/atom

---

Record 17
The following is a PBE calculation of a relaxed structure of HfIn3Cl, from the Alexandria database.

Structure (CIF):
```
data_HfIn3Cl
_symmetry_space_group_name_H-M 'P m -3 m'
_symmetry_Int_Tables_number 221
_symmetry_space_group_name_Hall '-P 4 2 3'
_cell_length_a 5.2289
_cell_length_b 5.2289
_cell_length_c 5.2289
_cell_angle_alpha 90.00
_cell_angle_beta 90.00
_cell_angle_gamma 90.00
loop_
_atom_site_label
_atom_site_type_symbol
_atom_site_fract_x
_atom_site_fract_y
_atom_site_fract_z
_atom_site_occupancy
Hf1 Hf 0.0000 0.0000 0.0000 1
In1 In 0.0000 0.5000 0.5000 1
Cl1 Cl 0.5000 0.5000 0.5000 1
```

Output
Energy above the lowest structure with this stoichiometry ... 126 meV/atom
ΔE_f (raw) ... 0.60 eV/atom
Energy ... -3.41 eV/atom

---

Record 18
The following is a PBE calculation of a relaxed structure of Tb6CePr2Dy3, from the Alexandria database.

Structure (CIF):
```
data_Tb6CePr2Dy3
_symmetry_space_group_name_H-M 'C 1 2/m 1'
_symmetry_Int_Tables_number 12
_cell_length_a 6.2068
_cell_length_b 10.7530
_cell_length_c 11.8542
_cell_angle_alpha 90.00
_cell_angle_beta 100.06
_cell_angle_gamma 90.00
loop_
_symmetry_equiv_pos_as_xyz
'x,y,z'
'-x,-y,-z'
'-x,y,-z'
'x,-y,z'
'x+1/2,y+1/2,z'
'-x+1/2,-y+1/2,-z'
'-x+1/2,y+1/2,-z'
'x+1/2,-y+1/2,z'
loop_
_atom_site_label
_atom_site_type_symbol
_atom_site_fract_x
_atom_site_fract_y
_atom_site_fract_z
_atom_site_occupancy
Tb1 Tb 0.2465 0.0000 0.2470 1
Tb2 Tb 0.2494 0.1652 0.7527 1
Ce1 Ce 0.0000 0.0000 0.5000 1
Pr1 Pr 0.0000 0.3335 0.5000 1
Dy1 Dy 0.0000 0.1669 0.0000 1
Dy2 Dy 0.0000 0.5000 0.0000 1
```

Output
Energy ... -4.72 eV/atom

---

Record 19
The following is a PBE calculation of a relaxed structure of Na4Pu3TiSe8, from the Alexandria database.

Structure (CIF):
```
data_Na4Pu3TiSe8
_symmetry_space_group_name_H-M 'R -3 m'
_symmetry_Int_Tables_number 166
_symmetry_space_group_name_Hall '-R 3 2"'
_cell_length_a 8.1886
_cell_length_b 8.1886
_cell_length_c 20.9238
_cell_angle_alpha 90.00
_cell_angle_beta 90.00
_cell_angle_gamma 120.00
loop_
_atom_site_label
_atom_site_type_symbol
_atom_site_fract_x
_atom_site_fract_y
_atom_site_fract_z
_atom_site_occupancy
Na1 Na 0.0000 0.0000 0.0000 1
Na2 Na 0.0000 0.5000 0.0000 1
Pu1 Pu 0.0000 0.5000 0.5000 1
Ti1 Ti 0.0000 0.0000 0.5000 1
Se1 Se 0.0000 0.0000 0.2449 1
Se2 Se 0.0203 0.5102 0.2409 1
```

Output
ΔE_f (raw) ... -1.33 eV/atom
Energy ... -6.59 eV/atom

---

Record 20
The following is a PBE calculation of a relaxed structure of Nd3ThZn2, from the Alexandria database.

Structure (CIF):
```
data_Nd3ThZn2
_symmetry_space_group_name_H-M 'P 4/m m m'
_symmetry_Int_Tables_number 123
_symmetry_space_group_name_Hall '-P 4 2'
_cell_length_a 3.6494
_cell_length_b 3.6494
_cell_length_c 12.4876
_cell_angle_alpha 90.00
_cell_angle_beta 90.00
_cell_angle_gamma 90.00
loop_
_atom_site_label
_atom_site_type_symbol
_atom_site_fract_x
_atom_site_fract_y
_atom_site_fract_z
_atom_site_occupancy
Nd1 Nd 0.0000 0.0000 0.0000 1
Nd2 Nd 0.0000 0.0000 0.2991 1
Th1 Th 0.5000 0.5000 0.5000 1
Zn1 Zn 0.5000 0.5000 0.1492 1
```

Output
Energy ... -4.24 eV/atom